{"formula": "SrAgH2Pt", "functional": "GGA-PBE", "state": "optimized geometry", "lattice": [[4.098, 0.000, 0.000], [0.000, 6.015, 0.000], [0.000, 0.000, 4.098]], "species": ["H", "H", "Ag", "Pt", "Sr"], "fractional_positions": [[0.500, 0.000, 0.000], [0.000, 0.000, 0.500], [0.500, 0.500, 0.500], [0.000, 0.500, 0.000], [0.000, 0.000, 0.000]], "sg": "P4/mmm", "e_tot_ev_per_atom": -2.94, "crystal_system": "tetragonal"}

{"formula": "NpCoRe2", "functional": "GGA-PBE", "state": "optimized geometry", "lattice": [[3.227, 0.000, 0.000], [1.614, 2.795, 0.000], [1.614, 0.932, 7.192]], "species": ["Np", "Co", "Re", "Re"], "fractional_positions": [[0.000, 0.000, 0.000], [0.500, 0.500, 0.500], [0.250, 0.250, 0.251], [0.750, 0.750, 0.749]], "sg": "R-3m", "formation_energy_ev_per_atom": 0.833, "crystal_system": "trigonal"}

{"formula": "La3Nd4ErSe8", "functional": "GGA-PBE", "state": "optimized geometry", "lattice": [[8.494, 0.000, 0.000], [0.000, 8.470, -0.020], [-4.247, -4.241, 6.006]], "species": ["Se", "Se", "Se", "Se", "Se", "Se", "Se", "Se", "La", "La", "La", "Er", "Nd", "Nd", "Nd", "Nd"], "fractional_positions": [[0.240, 0.254, 0.997], [0.757, 0.254, 0.997], [0.243, 0.746, 0.486], [0.243, 0.746, 0.003], [0.248, 0.245, 0.497], [0.760, 0.746, 0.003], [0.752, 0.755, 0.503], [0.757, 0.254, 0.514], [0.500, 0.500, 0.000], [0.000, 0.500, 0.500], [0.500, 0.500, 0.500], [0.000, 0.500, 0.000], [0.500, 0.000, 0.500], [0.500, 0.000, 0.000], [0.000, 0.000, 0.000], [0.000, 0.000, 0.500]], "sg": "R-3m", "raw_formation_energy_mev_per_atom": -1875, "crystal_system": "trigonal"}

{"formula": "LiSi2Tc2", "functional": "GGA-PBE", "state": "optimized geometry", "lattice": [[4.423, 0.000, 0.000], [0.000, 4.423, 0.000], [2.212, 2.212, 4.366]], "species": ["Li", "Tc", "Tc", "Si", "Si"], "fractional_positions": [[0.000, 0.000, 0.000], [0.629, 0.629, 0.742], [0.371, 0.371, 0.258], [0.750, 0.250, 0.500], [0.250, 0.750, 0.500]], "polymorph_energy_ev_per_atom": 0.5136, "sg": "I4/mmm", "raw_formation_energy_mev_per_atom": 88, "crystal_system": "tetragonal"}

{"formula": "Al2CdC", "functional": "GGA-PBE", "state": "optimized geometry", "lattice": [[5.856, 0.000, 0.000], [0.000, 5.856, 0.000], [2.928, 2.928, 4.147]], "species": ["Al", "Al", "Al", "Al", "Cd", "Cd", "C", "C"], "fractional_positions": [[0.875, 0.755, 0.750], [0.505, 0.125, 0.250], [0.245, 0.625, 0.250], [0.375, 0.495, 0.750], [0.750, 0.250, 0.500], [0.000, 0.000, 0.000], [0.500, 0.500, 0.000], [0.250, 0.750, 0.500]], "sg": "I-42d", "formation_energy_ev_per_atom": 0.266, "crystal_system": "tetragonal"}

{"formula": "K2Na5Cl3O2", "functional": "GGA-PBE", "state": "optimized geometry", "lattice": [[-0.594, 4.399, 1.031], [-4.292, -0.875, 1.258], [6.388, -4.017, 10.746]], "species": ["Cl", "Cl", "Cl", "O", "O", "Na", "Na", "Na", "Na", "Na", "K", "K"], "fractional_positions": [[0.181, 0.181, 0.361], [0.000, 0.000, 0.000], [0.819, 0.819, 0.639], [0.589, 0.589, 0.178], [0.411, 0.411, 0.822], [0.089, 0.589, 0.177], [0.911, 0.411, 0.823], [0.500, 0.500, 0.000], [0.411, 0.911, 0.823], [0.589, 0.089, 0.177], [0.691, 0.691, 0.383], [0.309, 0.309, 0.617]], "sg": "I4/mmm", "raw_formation_energy_mev_per_atom": -1534, "crystal_system": "tetragonal"}